{
  "formula": "PmY2Lu",
  "functional": "PBE-GGA",
  "state": "optimized geometry",
  "polymorph_energy_ev_per_atom": 0.000,
  "space_group": "P4/mmm",
  "magnetic_moment_mub_per_fu": 0.00,
  "density_g_cm3": 6.5,
  "delta_e_f_ev_per_atom": 0.028,
  "cell": [[-3.6885, -1.7184, 3.0224], [1.4111, -4.7245, -0.9640], [3.1439, 0.1400, 3.9163]],
  "species": ["Y", "Y", "Lu", "Pm"],
  "fractional_positions": [[0.0000, 0.0000, 0.5000], [0.0000, 0.5000, 0.0000], [0.5000, 0.0000, 0.0000], [0.5000, 0.5000, 0.5000]]
}

{
  "formula": "TlCd2Pt",
  "functional": "PBE-GGA",
  "state": "optimized geometry",
  "polymorph_energy_ev_per_atom": 0.046,
  "space_group": "P2/m",
  "magnetic_moment_mub_per_fu": 0.00,
  "density_g_cm3": 11.5,
  "delta_e_f_ev_per_atom": -0.110,
  "cell": [[3.6059, 0.0000, 0.0000], [0.0000, 3.0109, 0.2912], [0.0000, 2.3712, 8.5343]],
  "species": ["Tl", "Pt", "Cd", "Cd"],
  "fractional_positions": [[0.5000, 0.7500, 0.7500], [0.5000, 0.2500, 0.2500], [0.0000, 0.9551, 0.0543], [0.0000, 0.5449, 0.4457]]
}

{
  "formula": "RbTeI2N",
  "functional": "PBE-GGA",
  "state": "optimized geometry",
  "polymorph_energy_ev_per_atom": 0.000,
  "e_form_raw_ev_per_atom": -0.03,
  "space_group": "P4/mmm",
  "magnetic_moment_mub_per_fu": 0.00,
  "density_g_cm3": 4.6,
  "cell": [[-3.7790, 5.2607, 0.4749], [-2.0650, -2.0089, 5.8208], [3.0606, 2.0370, 1.7888]],
  "species": ["I", "I", "Te", "Rb", "N"],
  "fractional_positions": [[0.0000, 0.5000, 0.0000], [0.5000, 0.0000, 0.0000], [0.0000, 0.0000, 0.0000], [0.5000, 0.5000, 0.5000], [0.0000, 0.0000, 0.5000]]
}

{
  "formula": "Lu3PuFe",
  "functional": "PBE-GGA",
  "state": "optimized geometry",
  "space_group": "Pm-3m",
  "magnetic_moment_mub_per_fu": 6.43,
  "density_g_cm3": 10.1,
  "delta_e_f_ev_per_atom": 0.164,
  "cell": [[-4.6758, 2.1136, 0.1645], [-1.8426, -3.8547, -2.8467], [-1.0484, -2.6517, 4.2693]],
  "species": ["Lu", "Lu", "Lu", "Fe", "Pu"],
  "fractional_positions": [[0.0000, 0.5000, 0.0000], [0.0000, 0.0000, 0.5000], [0.5000, 0.0000, 0.0000], [0.0000, 0.0000, 0.0000], [0.5000, 0.5000, 0.5000]]
}

{
  "formula": "Pr2ZnH",
  "functional": "PBE-GGA",
  "state": "optimized geometry",
  "polymorph_energy_ev_per_atom": 0.236,
  "space_group": "P4/mmm",
  "magnetic_moment_mub_per_fu": 0.00,
  "density_g_cm3": 6.7,
  "cell": [[3.4309, 0.0000, 0.0000], [0.0000, 3.4309, 0.0000], [0.0000, 0.0000, 7.3620]],
  "species": ["Pr", "Pr", "H", "Zn"],
  "fractional_positions": [[0.0000, 0.0000, 0.7697], [0.0000, 0.0000, 0.2303], [0.5000, 0.5000, 0.0000], [0.5000, 0.5000, 0.5000]]
}

{
  "formula": "K2SrBr",
  "functional": "PBE-GGA",
  "state": "optimized geometry",
  "polymorph_energy_ev_per_atom": 0.335,
  "e_form_raw_ev_per_atom": -0.44,
  "space_group": "P4/mmm",
  "magnetic_moment_mub_per_fu": 0.00,
  "density_g_cm3": 2.0,
  "cell": [[7.2270, 0.0000, 0.0000], [0.0000, 5.3018, 0.0000], [0.0000, 0.0000, 5.3018]],
  "species": ["Br", "K", "K", "Sr"],
  "fractional_positions": [[0.5000, 0.0000, 0.5000], [0.0000, 0.0000, 0.0000], [0.0000, 0.5000, 0.5000], [0.5000, 0.5000, 0.0000]]
}

{
  "formula": "Mg4NF5",
  "functional": "PBE-GGA",
  "state": "optimized geometry",
  "e_form_raw_ev_per_atom": -2.78,
  "space_group": "C2/m",
  "magnetic_moment_mub_per_fu": 0.00,
  "density_g_cm3": 2.9,
  "cell": [[-1.7876, 2.4525, 0.7959], [-2.9244, -3.4260, 3.9887], [5.8764, 1.3655, 2.8064]],
  "species": ["Mg", "Mg", "Mg", "Mg", "N", "F", "F", "F", "F", "F"],
  "fractional_positions": [[0.6690, 0.1275, 0.3379], [0.9969, 0.2330, 0.9938], [0.3310, 0.8725, 0.6621], [0.0031, 0.7670, 0.0062], [0.5000, 0.0000, 0.0000], [0.1667, 0.3293, 0.3335], [0.1745, 0.8764, 0.3490], [0.8255, 0.1236, 0.6510], [0.5000, 0.5000, 0.0000], [0.8333, 0.6707, 0.6665]]
}

{
  "formula": "Ac12Pm5Er",
  "functional": "PBE-GGA",
  "state": "optimized geometry",
  "space_group": "C2/m",
  "magnetic_moment_mub_per_fu": 0.00,
  "density_g_cm3": 8.1,
  "delta_e_f_ev_per_atom": 0.036,
  "cell": [[-3.8259, -3.1928, -4.5542], [-0.6305, -1.4640, 6.5599], [-14.6397, 11.7855, 2.3759]],
  "species": ["Ac", "Ac", "Ac", "Ac", "Ac", "Ac", "Ac", "Ac", "Ac", "Ac", "Ac", "Ac", "Pm", "Pm", "Pm", "Pm", "Pm", "Er"],
  "fractional_positions": [[0.1130, 0.1130, 0.6627], [0.8870, 0.8870, 0.3373], [0.2780, 0.2780, 0.1614], [0.7220, 0.7220, 0.8386], [0.6150, 0.9464, 0.1613], [0.0536, 0.3850, 0.8387], [0.9464, 0.6150, 0.1613], [0.3850, 0.0536, 0.8387], [0.5535, 0.2202, 0.3374], [0.2202, 0.5535, 0.3374], [0.7798, 0.4465, 0.6626], [0.4465, 0.7798, 0.6626], [0.5000, 0.5000, 0.5000], [0.8332, 0.1668, 0.5000], [0.1668, 0.8332, 0.5000], [0.3334, 0.6666, 0.0000], [0.6666, 0.3334, 0.0000], [0.0000, 0.0000, 0.0000]]
}

{
  "formula": "Ho2IrOs3",
  "functional": "PBE-GGA",
  "state": "optimized geometry",
  "space_group": "R-3m",
  "magnetic_moment_mub_per_fu": 0.00,
  "density_g_cm3": 16.8,
  "delta_e_f_ev_per_atom": -0.435,
  "cell": [[4.6533, -0.1363, -2.4322], [-2.9612, 4.3319, -0.2320], [-0.1128, 0.2173, 5.4437]],
  "species": ["Ho", "Ho", "Ir", "Os", "Os", "Os"],
  "fractional_positions": [[0.7542, 0.3771, 0.1313], [0.2458, 0.6229, 0.8687], [0.0000, 0.0000, 0.0000], [0.5000, 0.5000, 0.5000], [0.0000, 0.0000, 0.5000], [0.5000, 0.0000, 0.5000]]
}